1.
VASP calculation (GGA-PBE) on a geometry-optimized LiTlSb2I structure.

The structure in POSCAR format:
```
LiTlSb2I
1.0
-2.029 4.615 0.354
-2.968 -1.594 3.767
4.393 1.613 4.144
Sb Li Tl I
2 1 1 1
direct
0.500 0.000 0.000
0.000 0.500 0.000
0.000 0.000 0.000
0.500 0.500 0.500
0.000 0.000 0.500
```

Results
* theoretical density: 6.05 g/cm3
* space group: P4/mmm, No. 123
* volume: 159.7 Å³/f.u.
* energy above the most stable polymorph in this dataset: 0 meV per atom

***

2.
VASP calculation (GGA-PBE) on a geometry-optimized Li2TlSbI6 structure.

The structure in POSCAR format:
```
Li2TlSbI6
1.0
7.541 0.000 -0.002
3.771 6.530 0.000
3.775 2.175 8.331
Li I Sb Tl
2 6 1 1
direct
0.984 0.984 0.049
0.649 0.648 0.054
0.252 0.911 0.257
0.721 0.052 0.847
0.581 0.252 0.257
0.381 0.721 0.846
0.911 0.581 0.257
0.052 0.381 0.846
0.316 0.316 0.052
0.816 0.817 0.552
```

Results
* theoretical density: 4.46 g/cm3
* space group: R-3, No. 148
* electronic total energy: -27.0 eV for the cell shown
* volume: 410.3 Å³/f.u.

***

3.
VASP calculation (GGA-PBE) on a geometry-optimized LiVSbI2 structure.

The structure in POSCAR format:
```
LiVSbI2
1.0
-0.516 -3.238 -4.044
4.252 -2.587 1.529
-2.995 -3.188 2.935
I V Sb Li
2 1 1 1
direct
0.000 0.500 0.000
0.500 0.000 0.000
0.500 0.500 0.500
0.000 0.000 0.500
0.000 0.000 0.000
```

Results
* theoretical density: 5.04 g/cm3
* space group: P4/mmm, No. 123
* volume: 142.8 Å³/f.u.
* energy above the most stable polymorph in this dataset: 782 meV per atom

***

4.
VASP calculation (GGA-PBE) on a geometry-optimized LiVSb2I structure.

The structure in POSCAR format:
```
LiVSb2I
1.0
4.871 0.000 0.000
0.000 4.871 0.000
0.000 0.000 5.487
I Sb V Li
1 2 1 1
direct
0.000 0.000 0.500
0.000 0.500 0.000
0.500 0.000 0.000
0.500 0.500 0.500
0.000 0.000 0.000
```

Results
* theoretical density: 5.46 g/cm3
* space group: P4/mmm, No. 123
* volume: 130.2 Å³/f.u.
* energy above the most stable polymorph in this dataset: 797 meV per atom

***

5.
VASP calculation (GGA-PBE) on a geometry-optimized LiVSbI2 structure.

The structure in POSCAR format:
```
LiVSbI2
1.0
-2.120 -4.715 -2.473
3.525 0.752 -4.455
3.616 -2.873 2.377
I V Li Sb
2 1 1 1
direct
0.000 0.500 0.000
0.500 0.000 0.000
0.000 0.000 0.000
0.500 0.500 0.500
0.000 0.000 0.500
```

Results
* theoretical density: 4.22 g/cm3
* space group: P4/mmm, No. 123
* volume: 170.6 Å³/f.u.
* energy above the most stable polymorph in this dataset: 0 meV per atom

***

6.
VASP calculation (GGA-PBE) on a geometry-optimized LiVSb2I structure.

The structure in POSCAR format:
```
LiVSb2I
1.0
-3.960 -2.683 1.601
2.452 -1.067 4.278
-2.424 5.177 2.680
Sb Li V I
2 1 1 1
direct
0.000 0.500 0.000
0.500 0.000 0.000
0.500 0.500 0.500
0.000 0.000 0.000
0.000 0.000 0.500
```

Results
* theoretical density: 4.43 g/cm3
* space group: P4/mmm, No. 123
* volume: 160.7 Å³/f.u.
* energy above the most stable polymorph in this dataset: 0 meV per atom

***

7.
VASP calculation (GGA-PBE) on a geometry-optimized Li2VSbI structure.

The structure in POSCAR format:
```
Li2VSbI
1.0
4.716 0.000 0.000
0.000 6.810 0.000
0.000 0.000 4.716
Li Sb V I
2 1 1 1
direct
0.000 0.000 0.500
0.500 0.000 0.000
0.000 0.500 0.000
0.500 0.500 0.500
0.000 0.000 0.000
```

Results
* theoretical density: 3.44 g/cm3
* space group: P4/mmm, No. 123
* electronic total energy: -14.9 eV for the cell shown
* volume: 151.4 Å³/f.u.

***

8.
VASP calculation (GGA-PBE) on a geometry-optimized LiSbWI2 structure.

The structure in POSCAR format:
```
LiSbWI2
1.0
-4.799 -1.214 3.080
0.809 -5.690 -0.982
2.874 -0.341 4.344
Li I W Sb
1 2 1 1
direct
0.500 0.500 0.500
0.500 0.000 0.000
0.000 0.500 0.000
0.000 0.000 0.000
0.000 0.000 0.500
```

Results
* theoretical density: 5.30 g/cm3
* space group: P4/mmm, No. 123
* volume: 177.4 Å³/f.u.
* energy above the most stable polymorph in this dataset: 0 meV per atom

***

Among the records above, which one has the lowest volume?
number 4

***

The highest volume belongs to which entry?
Li2TlSbI6

***

What did the seventh record say?
VASP calculation (GGA-PBE) on a geometry-optimized Li2VSbI structure.

The structure in POSCAR format:
```
Li2VSbI
1.0
4.716 0.000 0.000
0.000 6.810 0.000
0.000 0.000 4.716
Li Sb V I
2 1 1 1
direct
0.000 0.000 0.500
0.500 0.000 0.000
0.000 0.500 0.000
0.500 0.500 0.500
0.000 0.000 0.000
```

Results
* theoretical density: 3.44 g/cm3
* space group: P4/mmm, No. 123
* electronic total energy: -14.9 eV for the cell shown
* volume: 151.4 Å³/f.u.